[1]
# HfNb2Zn

A relaxed structure of HfNb2Zn (PBE, Alexandria).

a b c (Å): 3.4517 3.4517 6.0847
angles (deg): 90.00 90.00 90.00
Last column: nearest neighbours and their distance in Å.
Element x y z (fractional)
Hf  0.0000  0.0000  0.0000  8 Nb 2.94, 2 Zn 3.04
Nb  0.5000  0.5000  0.2706  1 Nb 2.79, 4 Zn 2.81, 4 Hf 2.94
Nb  0.5000  0.5000  0.7294  1 Nb 2.79, 4 Zn 2.81, 4 Hf 2.94
Zn  0.0000  0.0000  0.5000  8 Nb 2.81, 2 Hf 3.04

Calculated values
- Space-group type: P4/mmm, No. 123
- ΔE_f: 0.043 eV per atom

***

[2]
# Hf3NbZn

A relaxed structure of Hf3NbZn (PBE, Alexandria).

a b c (Å): 5.0603 5.0603 5.0603
angles (deg): 90.00 90.00 90.00
Last column: nearest neighbours and their distance in Å.
Element x y z (fractional)
Hf  0.0000  0.0000  0.5000  2 Nb 2.53
Hf  0.0000  0.5000  0.0000  2 Nb 2.53
Hf  0.5000  0.0000  0.0000  2 Nb 2.53
Nb  0.0000  0.0000  0.0000  6 Hf 2.53
Zn  0.5000  0.5000  0.5000  12 Hf 3.58

Calculated values
- Space-group type: Pm-3m, No. 221
- ΔE_f: 1.088 eV per atom

***

[3]
# HfNb3Zn

A relaxed structure of HfNb3Zn (PBE, Alexandria).

a b c (Å): 4.7472 4.7472 4.7472
angles (deg): 90.00 90.00 90.00
Last column: nearest neighbours and their distance in Å.
Element x y z (fractional)
Hf  0.0000  0.0000  0.0000  12 Nb 3.36
Nb  0.0000  0.5000  0.5000  2 Zn 2.37
Nb  0.5000  0.0000  0.5000  2 Zn 2.37
Nb  0.5000  0.5000  0.0000  2 Zn 2.37
Zn  0.5000  0.5000  0.5000  6 Nb 2.37

Calculated values
- Offset from the most stable computed form: 0 meV per atom
- Space-group type: Pm-3m, No. 221
- ΔE_f: 1.032 eV per atom

***

[4]
# HfNb2Zn

A relaxed structure of HfNb2Zn (PBE, Alexandria).

a b c (Å): 10.6273 10.6273 10.6273
angles (deg): 15.67 15.67 15.67
Last column: nearest neighbours and their distance in Å.
Element x y z (fractional)
Hf  0.0000  0.0000  0.0000  2 Nb 2.88, 6 Hf 2.90
Nb  0.0914  0.0914  0.0914  1 Hf 2.88, 6 Nb 2.90, 3 Zn 2.90
Nb  0.9086  0.9086  0.9086  1 Hf 2.88, 6 Nb 2.90, 3 Zn 2.90
Zn  0.5000  0.5000  0.5000  6 Zn 2.90, 6 Nb 2.90

Calculated values
- Space-group type: R-3m, No. 166
- ΔE_f: 0.354 eV per atom

***

[5]
# Hf5NbZn4

A relaxed structure of Hf5NbZn4 (PBE, Alexandria).

a b c (Å): 3.3465 3.3465 16.5559
angles (deg): 90.00 90.00 90.00
Last column: nearest neighbours and their distance in Å.
Element x y z (fractional)
Hf  0.0000  0.0000  0.0000  8 Zn 2.87
Hf  0.0000  0.0000  0.1965  8 Zn 2.87-2.88
Hf  0.0000  0.0000  0.3964  4 Zn 2.90, 4 Nb 2.92
Hf  0.0000  0.0000  0.6036  4 Zn 2.90, 4 Nb 2.92
Hf  0.0000  0.0000  0.8035  8 Zn 2.87-2.88
Nb  0.5000  0.5000  0.5000  8 Hf 2.92
Zn  0.5000  0.5000  0.0977  8 Hf 2.87-2.88
Zn  0.5000  0.5000  0.2949  8 Hf 2.87-2.90
Zn  0.5000  0.5000  0.7051  8 Hf 2.87-2.90
Zn  0.5000  0.5000  0.9023  8 Hf 2.87-2.88

Calculated values
- Space-group type: P4/mmm, No. 123
- ΔE_f: -0.156 eV per atom

***

[6]
# HfNb2Zn6

A relaxed structure of HfNb2Zn6 (PBE, Alexandria).

a b c (Å): 5.2499 5.2499 5.2499
angles (deg): 90.06 90.06 90.06
Last column: nearest neighbours and their distance in Å.
Element x y z (fractional)
Hf  0.0000  0.0000  0.0000  12 Zn 2.90, 2 Nb 3.08
Nb  0.3385  0.3385  0.3385  12 Zn 2.88-2.93, 1 Nb 2.93, 1 Hf 3.08
Nb  0.6615  0.6615  0.6615  12 Zn 2.88-2.93, 1 Nb 2.93, 1 Hf 3.08
Zn  0.1671  0.5000  0.8329  3 Zn 2.47-2.48
Zn  0.1671  0.8329  0.5000  3 Zn 2.47-2.48
Zn  0.5000  0.1671  0.8329  3 Zn 2.47-2.48
Zn  0.5000  0.8329  0.1671  3 Zn 2.47-2.48
Zn  0.8329  0.1671  0.5000  3 Zn 2.47-2.48
Zn  0.8329  0.5000  0.1671  3 Zn 2.47-2.48

Calculated values
- Space-group type: R-3m, No. 166
- ΔE_f: -0.101 eV per atom

***

[7]
# Hf2NbZn6

A relaxed structure of Hf2NbZn6 (PBE, Alexandria).

a b c (Å): 7.4612 7.4612 3.0824
angles (deg): 90.00 90.00 120.00
Last column: nearest neighbours and their distance in Å.
Element x y z (fractional)
Hf  0.3333  0.6667  0.0000  12 Zn 2.93, 2 Hf 3.08
Hf  0.6667  0.3333  0.0000  12 Zn 2.93, 2 Hf 3.08
Nb  0.0000  0.0000  0.0000  12 Zn 2.91, 2 Nb 3.08
Zn  0.0000  0.3309  0.5000  3 Zn 2.47-2.52
Zn  0.0000  0.6691  0.5000  3 Zn 2.47-2.52
Zn  0.3309  0.0000  0.5000  3 Zn 2.47-2.52
Zn  0.3309  0.3309  0.5000  3 Zn 2.47-2.52
Zn  0.6691  0.0000  0.5000  3 Zn 2.47-2.52
Zn  0.6691  0.6691  0.5000  3 Zn 2.47-2.52

Calculated values
- Space-group type: P6/mmm, No. 191
- ΔE_f: -0.156 eV per atom

***

[8]
# Hf3NbZn4

A relaxed structure of Hf3NbZn4 (PBE, Alexandria).

a b c (Å): 3.3751 3.3751 12.3639
angles (deg): 90.00 90.00 90.00
Last column: nearest neighbours and their distance in Å.
Element x y z (fractional)
Hf  0.0000  0.0000  0.0000  8 Zn 2.88, 2 Hf 3.21
Hf  0.0000  0.0000  0.2597  8 Zn 2.84-2.87, 1 Nb 2.97
Hf  0.0000  0.0000  0.7403  8 Zn 2.84-2.87, 1 Nb 2.97
Nb  0.0000  0.0000  0.5000  8 Zn 2.78, 2 Hf 2.97
Zn  0.5000  0.5000  0.1306  8 Hf 2.87-2.88, 1 Zn 3.14
Zn  0.5000  0.5000  0.3843  4 Nb 2.78, 4 Hf 2.84, 1 Zn 2.86
Zn  0.5000  0.5000  0.6157  4 Nb 2.78, 4 Hf 2.84, 1 Zn 2.86
Zn  0.5000  0.5000  0.8694  8 Hf 2.87-2.88, 1 Zn 3.14

Calculated values
- Space-group type: P4/mmm, No. 123
- ΔE_f: -0.122 eV per atom

***

[9]
# Hf6NbZn5

A relaxed structure of Hf6NbZn5 (PBE, Alexandria).

a b c (Å): 8.1677 8.1677 8.1677
angles (deg): 146.36 132.16 59.76
Last column: nearest neighbours and their distance in Å.
Element x y z (fractional)
Hf  0.0835  0.3333  0.7502  7 Zn 2.87-2.92, 1 Nb 2.88
Hf  0.2485  0.0000  0.2485  6 Zn 2.85-2.89, 2 Nb 2.89
Hf  0.4169  0.6667  0.7502  7 Zn 2.87-2.92, 1 Nb 2.88
Hf  0.5831  0.3333  0.2498  7 Zn 2.87-2.92, 1 Nb 2.88
Hf  0.7515  0.0000  0.7515  6 Zn 2.85-2.89, 2 Nb 2.89
Hf  0.9165  0.6667  0.2498  7 Zn 2.87-2.92, 1 Nb 2.88
Nb  0.5000  0.5000  0.0000  8 Hf 2.88-2.89
Zn  0.0000  0.5000  0.5000  8 Hf 2.88
Zn  0.1675  0.1675  0.0000  8 Hf 2.87-2.89
Zn  0.3365  0.8365  0.5000  8 Hf 2.85-2.92
Zn  0.6635  0.1635  0.5000  8 Hf 2.85-2.92
Zn  0.8325  0.8325  0.0000  8 Hf 2.87-2.89

Calculated values
- Space-group type: Immm, No. 71
- ΔE_f: -0.165 eV per atom

***

[10]
# Hf2NbZn2

A relaxed structure of Hf2NbZn2 (PBE, Alexandria).

a b c (Å): 7.4727 7.4727 3.2973
angles (deg): 90.00 90.00 90.00
Last column: nearest neighbours and their distance in Å.
Element x y z (fractional)
Hf  0.1819  0.3181  0.0000  6 Zn 2.68-2.82
Hf  0.3181  0.8181  0.0000  6 Zn 2.68-2.82
Hf  0.6819  0.1819  0.0000  6 Zn 2.68-2.82
Hf  0.8181  0.6819  0.0000  6 Zn 2.68-2.82
Nb  0.0000  0.0000  0.5000  4 Zn 2.99, 8 Hf 3.20, 2 Nb 3.30
Nb  0.5000  0.5000  0.5000  4 Zn 2.99, 8 Hf 3.20, 2 Nb 3.30
Zn  0.1180  0.6180  0.5000  1 Zn 2.49, 2 Hf 2.68
Zn  0.3820  0.1180  0.5000  1 Zn 2.49, 2 Hf 2.68
Zn  0.6180  0.8820  0.5000  1 Zn 2.49, 2 Hf 2.68
Zn  0.8820  0.3820  0.5000  1 Zn 2.49, 2 Hf 2.68

Calculated values
- Offset from the most stable computed form: 47 meV per atom
- Space-group type: P4/mbm, No. 127
- ΔE_f: -0.037 eV per atom

***

[11]
# Hf3NbZn8

A relaxed structure of Hf3NbZn8 (PBE, Alexandria).

a b c (Å): 5.1932 5.1932 8.3133
angles (deg): 90.00 90.00 120.00
Last column: nearest neighbours and their distance in Å.
Element x y z (fractional)
Hf  0.0000  0.0000  0.0000  12 Zn 3.02-3.05, 4 Hf 3.11-3.22
Hf  0.0000  0.0000  0.3743  12 Zn 2.94-3.04, 1 Hf 3.11, 3 Nb 3.17
Hf  0.3333  0.6667  0.8592  12 Zn 2.99-3.08, 1 Nb 2.99, 3 Hf 3.22
Nb  0.3333  0.6667  0.4998  12 Zn 2.98-3.05, 4 Hf 2.99-3.17
Zn  0.0124  0.5062  0.1864  6 Zn 2.50-2.69
Zn  0.3231  0.1615  0.6815  6 Zn 2.52-2.68
Zn  0.4938  0.5062  0.1864  6 Zn 2.50-2.69
Zn  0.4938  0.9876  0.1864  6 Zn 2.50-2.69
Zn  0.6667  0.3333  0.4350  6 Zn 2.57-2.59
Zn  0.6667  0.3333  0.9343  6 Zn 2.61
Zn  0.8385  0.1615  0.6815  6 Zn 2.52-2.68
Zn  0.8385  0.6769  0.6815  6 Zn 2.52-2.68

Calculated values
- Space-group type: P3m1, No. 156
- ΔE_f: -0.188 eV per atom

***

[12]
# HfNb2Zn

A relaxed structure of HfNb2Zn (PBE, Alexandria).

a b c (Å): 4.0078 4.0078 4.5340
angles (deg): 90.00 90.00 90.00
Last column: nearest neighbours and their distance in Å.
Element x y z (fractional)
Hf  0.0000  0.0000  0.0000  4 Zn 2.83, 8 Nb 3.03
Nb  0.0000  0.5000  0.5000  4 Nb 2.83, 4 Hf 3.03, 4 Zn 3.03
Nb  0.5000  0.0000  0.5000  4 Nb 2.83, 4 Hf 3.03, 4 Zn 3.03
Zn  0.5000  0.5000  0.0000  4 Hf 2.83, 8 Nb 3.03

Calculated values
- Space-group type: P4/mmm, No. 123
- ΔE_f: -0.035 eV per atom

***

[13]
# HfNb3Zn

A relaxed structure of HfNb3Zn (PBE, Alexandria).

a b c (Å): 4.9134 4.9134 4.9134
angles (deg): 90.00 90.00 90.00
Last column: nearest neighbours and their distance in Å.
Element x y z (fractional)
Hf  0.0000  0.0000  0.0000  6 Nb 2.46
Nb  0.0000  0.0000  0.5000  2 Hf 2.46
Nb  0.0000  0.5000  0.0000  2 Hf 2.46
Nb  0.5000  0.0000  0.0000  2 Hf 2.46
Zn  0.5000  0.5000  0.5000  12 Nb 3.47

Calculated values
- Offset from the most stable computed form: 605 meV per atom
- Space-group type: Pm-3m, No. 221
- ΔE_f: 1.637 eV per atom